Density functional theory data (PBE-GGA) for KRbCd4 after structural relaxation.

Calculated values
Space-group type: Imm2, No. 44

Cell lengths 6.6725, 6.6725, 6.6725 Å; angles 133.43, 100.80, 97.19 degrees
Atoms (fractional coordinates):
Cd: 0.0186 0.8367 0.1820
Cd: 0.4811 0.1614 0.3197
Cd: 0.8417 0.1614 0.6803
Cd: 0.6547 0.8367 0.8180
K: 0.4415 0.4415 0.0000
Rb: 0.0624 0.5624 0.5000


Density functional theory data (PBE-GGA) for K2Rb2CdSb2 after structural relaxation.

Calculated values
Space-group type: R-3m, No. 166

Cell lengths 10.8711, 10.8711, 10.8711 Å; angles 32.97, 32.97, 32.97 degrees
Atoms (fractional coordinates):
Cd: 0.0000 0.0000 0.0000
K: 0.3865 0.3865 0.3865
K: 0.6135 0.6135 0.6135
Rb: 0.2085 0.2085 0.2085
Rb: 0.7915 0.7915 0.7915
Sb: 0.0871 0.0871 0.0871
Sb: 0.9129 0.9129 0.9129


Density functional theory data (PBE-GGA) for K2Rb2CdSb2 after structural relaxation.

Calculated values
Space-group type: R-3m, No. 166

Cell lengths 10.5601, 10.5601, 10.5601 Å; angles 34.30, 34.30, 34.30 degrees
Atoms (fractional coordinates):
Cd: 0.0000 0.0000 0.0000
K: 0.2084 0.2084 0.2084
K: 0.7916 0.7916 0.7916
Rb: 0.3862 0.3862 0.3862
Rb: 0.6138 0.6138 0.6138
Sb: 0.0903 0.0903 0.0903
Sb: 0.9097 0.9097 0.9097


Which total DFT energy (no corrections) belongs to each record? In order, -6.1 -16.3 -16.3 eV/cell.